Crystalline ZnAsP2 at its relaxed geometry, computed with PBE-GGA.

Calculated values
M_tot = 0.00 μB/f.u.
ΔE to the lowest computed polymorph = 499 meV/atom
electronic total energy = -3.64 eV/atom
energy of formation from the pure elements = 2.172 eV/f.u.

abc: 6.3874 6.3874 6.3874
angles: 90.00 90.00 90.00
Space group F-43m (No. 216)
Symmetry-distinct sites (fractional):
Zn (0.0000, 0.0000, 0.0000)
As (0.2500, 0.2500, 0.2500)
P (0.0000, 0.0000, 0.5000)
P (0.2500, 0.2500, 0.7500)